A relaxed Li7Mn2Co3O12 crystal, computed with PBE with a Hubbard U.

Properties
Total DFT energy (no corrections)   -0.429 Ry per atom
Magnetization   0.083 μB/atom
Calculated volume   8.91 Å³ per atom
Polymorph energy (0 for the lowest one)   0.0668 eV per atom
N(E_F)   6.7 states/eV per cell

abc: 5.1309 2.9140 14.3020
angles: 90.00 90.67 90.00
Last column: nearest neighbours and their distance in Å.
Space group Pm (No. 6)
Asymmetric unit:
Li: 0.0000 0.0000 0.0000 x1  6 O 2.05-2.12
Li: 0.0227 0.0000 0.5011 x1  6 O 2.08-2.23
Li: 0.1439 0.5000 0.1554 x1  5 O 2.12-2.22
Li: 0.3400 0.0000 0.8442 x1  3 O 1.99-2.00
Li: 0.5056 0.5000 0.5041 x1  6 O 2.07-2.23
Li: 0.6545 0.0000 0.1627 x1  6 O 2.00-2.14
Li: 0.8548 0.5000 0.8415 x1  6 O 2.11-2.20
Mn: 0.6825 0.0000 0.6706 x1  6 O 1.94-1.97
Mn: 0.8421 0.5000 0.3337 x1  6 O 1.92-1.97
Co: 0.1822 0.5000 0.6716 x1  6 O 2.06-2.12
Co: 0.3418 0.0000 0.3334 x1  6 O 2.02-2.15
Co: 0.5002 0.5000 0.0023 x1  6 O 1.79-1.98
O: 0.1609 0.5000 0.4101 x1  1 Mn 1.96, 2 Co 2.05, 2 Li 2.08
O: 0.2130 0.5000 0.9276 x1  1 Co 1.81, 2 Li 2.00
O: 0.3452 0.0000 0.0765 x1  2 Co 1.98, 4 Li 2.00-2.12
O: 0.3661 0.0000 0.5937 x1  1 Mn 1.95, 2 Co 2.07, 2 Li 2.07
O: 0.5242 0.5000 0.2615 x1  1 Mn 1.92, 2 Co 2.02, 2 Li 2.14
O: 0.5395 0.5000 0.7451 x1  2 Mn 1.95, 1 Co 2.10, 1 Li 2.11
O: 0.6505 0.0000 0.9285 x1  2 Co 1.96, 4 Li 1.99-2.19
O: 0.7038 0.0000 0.4104 x1  2 Mn 1.96, 1 Li 2.08, 1 Co 2.15
O: 0.7873 0.5000 0.0749 x1  1 Co 1.79
O: 0.8264 0.5000 0.5946 x1  2 Mn 1.97, 1 Li 2.08, 1 Co 2.12
O: 0.9829 0.0000 0.2567 x1  2 Mn 1.97, 1 Co 2.13, 1 Li 2.14
O: 0.9965 0.0000 0.7474 x1  1 Mn 1.94, 2 Co 2.06, 2 Li 2.12